Here is an optimized crystal structure of Ac3AlSn from Alexandria via LeMat-Bulk. Energies are from GGA-PBE.

DOS at the Fermi energy (states/eV per atom): 0.919
Energy (eV for the cell shown): -43.96
Calculated formation energy (eV/atom): -0.38
SG: C2/m, No. 12
Magnetic moment (μB per formula unit): 0.7

```
Ac3AlSn
1.0
4.458 0.000 0.000
-2.229 8.826 -0.155
-0.001 -0.526 9.349
Sn Ac Al
2 6 2
direct
0.415 0.864 0.280
0.629 0.290 0.141
0.263 0.559 0.027
0.423 0.879 0.644
0.781 0.595 0.394
0.975 0.983 0.024
0.621 0.275 0.778
0.069 0.171 0.397
0.237 0.507 0.648
0.807 0.647 0.774
```